1.
Pu2ScCr2C4, relaxed, DFT GGA-PBE; ρ = 9.66 g cm⁻³; energy of formation = -0.101 eV/atom
1.0
6.4159 -1.6545 0.0000
6.4159 1.6545 0.0000
-1.7932 0.0000 5.5485
Pu Sc Cr C
2 1 2 4
direct
0.1256 0.1256 0.0314
0.8744 0.8744 0.9686
0.0000 0.0000 0.5000
0.3215 0.3215 0.4941
0.6785 0.6785 0.5059
0.2156 0.2156 0.6902
0.4566 0.4566 0.7371
0.5434 0.5434 0.2629
0.7844 0.7844 0.3098


2.
GaBiRh, relaxed, DFT GGA-PBE; ρ = 9.87 g cm⁻³; energy of formation = -0.234 eV/atom; energy above the lowest structure with this stoichiometry = 0.000 eV per formula unit
1.0
0.0000 3.1785 3.1785
3.1785 0.0000 3.1785
3.1785 3.1785 0.0000
Ga Bi Rh
1 1 1
direct
0.0000 0.0000 0.0000
0.5000 0.5000 0.5000
0.2500 0.2500 0.2500


3.
KRbCuCl4, relaxed, DFT GGA-PBE; formation energy (no corrections) = -1.33 eV per atom; ρ = 2.57 g cm⁻³
1.0
6.9932 0.0000 0.0000
0.0000 6.9382 0.0000
-3.0947 0.0000 8.7847
K Rb Cu Cl
2 2 2 8
direct
0.2187 0.2500 0.0498
0.7813 0.7500 0.9502
0.2889 0.2500 0.5747
0.7111 0.7500 0.4253
0.2207 0.7500 0.8009
0.7793 0.2500 0.1991
0.0019 0.0016 0.7463
0.0019 0.4984 0.7463
0.3793 0.7500 0.0562
0.4059 0.7500 0.6414
0.5941 0.2500 0.3586
0.6207 0.2500 0.9438
0.9981 0.5016 0.2537
0.9981 0.9984 0.2537